1.
MnPdAu2: relaxed, PBE.

a = 6.102 Å, b = 6.102 Å, c = 6.102 Å
α = 152.76°, β = 134.93°, γ = 53.46°
Fractional positions:
Mn 0.000 0.000 0.000
Pd 0.500 0.500 0.000
Au 0.246 0.246 0.000
Au 0.754 0.754 0.000

Results
DFT formation energy in kJ/mol of atoms: 18.66

2.
MnCoNi2: relaxed, PBE.

a = 4.365 Å, b = 4.365 Å, c = 2.532 Å
α = 90.00°, β = 90.00°, γ = 109.51°
Fractional positions:
Mn 0.000 0.000 0.000
Co 0.500 0.500 0.000
Ni 0.000 0.500 0.500
Ni 0.500 0.000 0.500

Results
DFT formation energy in kJ/mol of atoms: -1.19

3.
ZrScAu2: relaxed, PBE.

a = 5.749 Å, b = 5.749 Å, c = 5.749 Å
α = 144.19°, β = 132.95°, γ = 60.51°
Fractional positions:
Zr 0.000 0.000 0.000
Sc 0.734 0.234 0.500
Au 0.243 0.743 0.500
Au 0.478 0.478 0.000

Results
DFT formation energy in kJ/mol of atoms: -46.55
Distance to the lowest polymorph of the same formula in meV per atom: 151

Among the records above, which one has the highest DFT formation energy?
MnPdAu2

Number 2 is which compound?
MnCoNi2

What did the first record say?
MnPdAu2: relaxed, PBE.

a = 6.102 Å, b = 6.102 Å, c = 6.102 Å
α = 152.76°, β = 134.93°, γ = 53.46°
Fractional positions:
Mn 0.000 0.000 0.000
Pd 0.500 0.500 0.000
Au 0.246 0.246 0.000
Au 0.754 0.754 0.000

Results
DFT formation energy in kJ/mol of atoms: 18.66